# 1
A geometry-optimized KLa2BRu structure. Source: the Alexandria database, functional PBE-GGA.

Lattice parameters (Å, degrees): 5.474 4.185 5.474 90.00 90.00 90.00
Last column: magnetic moment on the atom in μB.
Positions (direct):
Ru  0.500  0.500  0.500  1.13
B  0.000  0.500  0.000  0.03
La  0.500  0.000  0.000  -0.04
La  0.000  0.000  0.500  -0.04
K  0.000  0.000  0.000  0.02

Summary:
ΔH_f (0 K) = 1867 meV per atom
space-group type = P4/mmm
calculated density = 5.7 g cm⁻³


# 2
A geometry-optimized KLa2B2S6 structure. Source: the Alexandria database, functional PBE-GGA.

Lattice parameters (Å, degrees): 7.481 7.131 5.849 106.97 79.74 71.39
Positions (direct):
K  0.500  0.000  0.500
S  0.432  0.751  0.946
S  0.179  0.498  0.714
S  0.821  0.502  0.286
S  0.568  0.249  0.054
S  0.118  0.947  0.686
S  0.882  0.053  0.314
La  0.814  0.393  0.757
La  0.186  0.607  0.243
B  0.759  0.261  0.210
B  0.241  0.739  0.790

Summary:
space-group type = P-1
formation energy (no corrections) = -1224 meV per atom
calculated density = 3.3 g cm⁻³


# 3
A geometry-optimized K2LaB2S6 structure. Source: the Alexandria database, functional PBE-GGA.

Lattice parameters (Å, degrees): 6.703 6.751 8.554 114.64 90.00 119.77
Positions (direct):
B  0.054  0.108  0.267
B  0.946  0.892  0.733
K  0.301  0.601  0.816
K  0.699  0.399  0.184
S  0.269  0.076  0.786
S  0.772  0.544  0.644
S  0.193  0.924  0.214
S  0.807  0.076  0.786
S  0.731  0.924  0.214
S  0.228  0.456  0.356
La  0.500  0.000  0.500

Summary:
space-group type = C2/m
formation energy (no corrections) = -992 meV per atom
calculated density = 2.4 g cm⁻³